Entry 1:
Material: Cs5Ag2Au
Method: DFT, PBE-GGA
State: optimized geometry

Cell: 11.3454 11.3454 11.3454 Å, 129.77 129.77 73.77°
With the nearest neighbours (Å) after each atom.
Fractional coordinates of all 16 atoms:
Cs: 0.0000 0.0000 0.0000  4 Ag 3.93
Cs: 0.0312 0.5312 0.8537  3 Ag 3.85-3.97, 2 Au 4.02, 1 Cs 4.28
Cs: 0.1775 0.0312 0.5000  3 Ag 3.85-3.97, 2 Au 4.02, 1 Cs 4.28
Cs: 0.3225 0.8225 0.8537  3 Ag 3.85-3.97, 2 Au 4.02, 1 Cs 4.28
Cs: 0.4688 0.3225 0.5000  3 Ag 3.85-3.97, 2 Au 4.02, 1 Cs 4.28
Cs: 0.5000 0.5000 0.0000  4 Ag 3.93
Cs: 0.5312 0.6775 0.5000  3 Ag 3.85-3.97, 2 Au 4.02, 1 Cs 4.28
Cs: 0.6775 0.1775 0.1463  3 Ag 3.85-3.97, 2 Au 4.02, 1 Cs 4.28
Cs: 0.8225 0.9688 0.5000  3 Ag 3.85-3.97, 2 Au 4.02, 1 Cs 4.28
Cs: 0.9688 0.4688 0.1463  3 Ag 3.85-3.97, 2 Au 4.02, 1 Cs 4.28
Ag: 0.1056 0.3944 0.5000  1 Ag 2.88
Ag: 0.3944 0.8944 0.2887  1 Ag 2.88
Ag: 0.6056 0.1056 0.7113  1 Ag 2.88
Ag: 0.8944 0.6056 0.5000  1 Ag 2.88
Au: 0.2500 0.2500 0.0000  8 Cs 4.02
Au: 0.7500 0.7500 0.0000  8 Cs 4.02

Results
* density of states at the Fermi level: 3.21 states/eV/f.u.
* formation energy from the elements: -65 meV per atom
* total moment: 0.00 μB/cell

---

Entry 2:
Material: Cs11Ag2Au
Method: DFT, PBE-GGA
State: optimized geometry

Cell: 15.0321 15.0321 15.0321 Å, 123.66 104.39 101.37°
With the nearest neighbours (Å) after each atom.
Fractional coordinates of all 28 atoms:
Cs: 0.0000 0.0000 0.0000  2 Ag 3.80
Cs: 0.0427 0.4536 0.8148  1 Ag 3.86
Cs: 0.0785 0.8218 0.6433  1 Au 3.71, 1 Ag 4.00
Cs: 0.1389 0.9536 0.4109  1 Ag 3.86
Cs: 0.1784 0.4352 0.3567  1 Au 3.71, 1 Ag 4.00
Cs: 0.2190 0.8740 0.0930  2 Ag 3.78-3.99
Cs: 0.2810 0.3740 0.6550  2 Ag 3.78-3.99
Cs: 0.3216 0.6782 0.2567  1 Au 3.71, 1 Ag 4.00
Cs: 0.3611 0.7721 0.8148  1 Ag 3.86
Cs: 0.4215 0.0648 0.7433  1 Au 3.71, 1 Ag 4.00
Cs: 0.4573 0.2721 0.4109  1 Ag 3.86
Cs: 0.5000 0.5000 0.0000  2 Ag 3.80
Cs: 0.5427 0.7279 0.5891  1 Ag 3.86
Cs: 0.5785 0.9352 0.2567  1 Au 3.71, 1 Ag 4.00
Cs: 0.6389 0.2279 0.1852  1 Ag 3.86
Cs: 0.6784 0.3218 0.7433  1 Au 3.71, 1 Ag 4.00
Cs: 0.7190 0.6260 0.3450  2 Ag 3.78-3.99
Cs: 0.7810 0.1260 0.9070  2 Ag 3.78-3.99
Cs: 0.8216 0.5648 0.6433  1 Au 3.71, 1 Ag 4.00
Cs: 0.8611 0.0464 0.5891  1 Ag 3.86
Cs: 0.9215 0.1782 0.3567  1 Au 3.71, 1 Ag 4.00
Cs: 0.9573 0.5464 0.1852  1 Ag 3.86
Ag: 0.1715 0.1486 0.3201  7 Cs 3.78-4.00
Ag: 0.3285 0.6486 0.9771  7 Cs 3.78-4.00
Ag: 0.6715 0.3514 0.0229  7 Cs 3.78-4.00
Ag: 0.8285 0.8514 0.6799  7 Cs 3.78-4.00
Au: 0.2500 0.7500 0.5000  4 Cs 3.71
Au: 0.7500 0.2500 0.5000  4 Cs 3.71

Results
* density of states at the Fermi level: 9.23 states/eV/f.u.
* formation energy from the elements: 17 meV per atom
* total moment: 0.00 μB/cell

---

Entry 3:
Material: Cs6AgAu4
Method: DFT, PBE-GGA
State: optimized geometry

Cell: 10.2817 10.2817 10.2817 Å, 90.71 90.71 90.71°
With the nearest neighbours (Å) after each atom.
Fractional coordinates of all 22 atoms:
Cs: 0.0570 0.9141 0.6761  1 Ag 3.49, 2 Au 3.65-3.77
Cs: 0.0859 0.3239 0.9430  1 Ag 3.49, 2 Au 3.65-3.77
Cs: 0.1761 0.4141 0.5570  1 Ag 3.49, 2 Au 3.65-3.77
Cs: 0.3239 0.9430 0.0859  1 Ag 3.49, 2 Au 3.65-3.77
Cs: 0.4141 0.5570 0.1761  1 Ag 3.49, 2 Au 3.65-3.77
Cs: 0.4430 0.8239 0.5859  1 Ag 3.49, 2 Au 3.65-3.77
Cs: 0.5570 0.1761 0.4141  1 Ag 3.49, 2 Au 3.65-3.77
Cs: 0.5859 0.4430 0.8239  1 Ag 3.49, 2 Au 3.65-3.77
Cs: 0.6761 0.0570 0.9141  1 Ag 3.49, 2 Au 3.65-3.77
Cs: 0.8239 0.5859 0.4430  1 Ag 3.49, 2 Au 3.65-3.77
Cs: 0.9141 0.6761 0.0570  1 Ag 3.49, 2 Au 3.65-3.77
Cs: 0.9430 0.0859 0.3239  1 Ag 3.49, 2 Au 3.65-3.77
Ag: 0.0000 0.0000 0.0000  6 Cs 3.49
Ag: 0.5000 0.5000 0.5000  6 Cs 3.49
Au: 0.1417 0.7500 0.3583  8 Cs 3.77-4.05
Au: 0.2500 0.2500 0.2500  6 Cs 3.65
Au: 0.2500 0.6417 0.8583  8 Cs 3.77-4.05
Au: 0.3583 0.1417 0.7500  8 Cs 3.77-4.05
Au: 0.6417 0.8583 0.2500  8 Cs 3.77-4.05
Au: 0.7500 0.3583 0.1417  8 Cs 3.77-4.05
Au: 0.7500 0.7500 0.7500  6 Cs 3.65
Au: 0.8583 0.2500 0.6417  8 Cs 3.77-4.05

Results
* density of states at the Fermi level: 6.04 states/eV/f.u.
* formation energy from the elements: -189 meV per atom
* total moment: 0.00 μB/cell

---

Entry 4:
Material: CsAgAu3
Method: DFT, PBE-GGA
State: optimized geometry

Cell: 6.0728 6.0728 6.0728 Å, 90.00 90.00 90.00°
With the nearest neighbours (Å) after each atom.
Fractional coordinates of all 5 atoms:
Cs: 0.0000 0.0000 0.0000  6 Au 3.04
Ag: 0.5000 0.5000 0.5000  12 Au 4.29
Au: 0.0000 0.0000 0.5000  2 Cs 3.04
Au: 0.0000 0.5000 0.0000  2 Cs 3.04
Au: 0.5000 0.0000 0.0000  2 Cs 3.04

Results
* density of states at the Fermi level: 5.99 states/eV/f.u.
* formation energy from the elements: 1338 meV per atom
* total moment: 0.00 μB/cell
* relative energy among the computed polymorphs: 1438 meV per atom

---

Entry 5:
Material: CsAgAu3
Method: DFT, PBE-GGA
State: optimized geometry

Cell: 5.3321 5.3321 5.3321 Å, 90.00 90.00 90.00°
With the nearest neighbours (Å) after each atom.
Fractional coordinates of all 5 atoms:
Cs: 0.0000 0.0000 0.0000  12 Au 3.77
Ag: 0.5000 0.5000 0.5000  6 Au 2.67
Au: 0.0000 0.5000 0.5000  2 Ag 2.67
Au: 0.5000 0.0000 0.5000  2 Ag 2.67
Au: 0.5000 0.5000 0.0000  2 Ag 2.67

Results
* density of states at the Fermi level: 1.16 states/eV/f.u.
* formation energy from the elements: 147 meV per atom
* total moment: 0.00 μB/cell
* relative energy among the computed polymorphs: 246 meV per atom

---

Entry 6:
Material: CsAgAu2
Method: DFT, PBE-GGA
State: optimized geometry

Cell: 6.9855 6.9855 6.9855 Å, 40.63 40.63 40.63°
With the nearest neighbours (Å) after each atom.
Fractional coordinates of all 4 atoms:
Cs: 0.0000 0.0000 0.0000  2 Au 3.40
Ag: 0.5000 0.5000 0.5000  6 Au 2.81
Au: 0.1771 0.1771 0.1771  3 Ag 2.81, 3 Au 2.83
Au: 0.8229 0.8229 0.8229  3 Ag 2.81, 3 Au 2.83

Results
* density of states at the Fermi level: 1.21 states/eV/f.u.
* formation energy from the elements: -182 meV per atom
* total moment: 0.00 μB/cell
* relative energy among the computed polymorphs: 0 meV per atom

---

Entry 7:
Material: Cs3AgAu
Method: DFT, PBE-GGA
State: optimized geometry

Cell: 5.3757 11.3703 8.2748 Å, 90.00 90.00 90.00°
With the nearest neighbours (Å) after each atom.
Fractional coordinates of all 10 atoms:
Cs: 0.2500 0.0540 0.2382  2 Au 3.77, 2 Ag 3.80
Cs: 0.2500 0.2500 0.7497  2 Au 3.76, 2 Ag 3.84
Cs: 0.2500 0.4460 0.2382  2 Au 3.77, 2 Ag 3.80
Cs: 0.7500 0.5540 0.7618  2 Au 3.77, 2 Ag 3.80
Cs: 0.7500 0.7500 0.2503  2 Au 3.76, 2 Ag 3.84
Cs: 0.7500 0.9460 0.7618  2 Au 3.77, 2 Ag 3.80
Ag: 0.2500 0.7500 0.5820  1 Au 2.91
Ag: 0.7500 0.2500 0.4180  1 Au 2.91
Au: 0.2500 0.7500 0.9331  1 Ag 2.91
Au: 0.7500 0.2500 0.0669  1 Ag 2.91

Results
* density of states at the Fermi level: 3.22 states/eV/f.u.
* formation energy from the elements: -113 meV per atom
* total moment: 0.00 μB/cell
* relative energy among the computed polymorphs: 0 meV per atom

---

Entry 8:
Material: CsAgAu
Method: DFT, PBE-GGA
State: optimized geometry

Cell: 4.8129 4.8129 5.2891 Å, 90.00 90.00 120.00°
With the nearest neighbours (Å) after each atom.
Fractional coordinates of all 3 atoms:
Cs: 0.0000 0.0000 0.0000  6 Ag 3.84, 6 Au 3.84
Ag: 0.6667 0.3333 0.5000  3 Au 2.78
Au: 0.3333 0.6667 0.5000  3 Ag 2.78

Results
* density of states at the Fermi level: 0.66 states/eV/f.u.
* formation energy from the elements: -100 meV per atom
* total moment: 0.00 μB/cell
* relative energy among the computed polymorphs: 0 meV per atom

---

Entry 9:
Material: Cs2Ag2Au
Method: DFT, PBE-GGA
State: optimized geometry

Cell: 6.2579 6.2579 9.8192 Å, 97.97 97.97 67.05°
With the nearest neighbours (Å) after each atom.
Fractional coordinates of all 10 atoms:
Cs: 0.0242 0.2814 0.1589  6 Ag 3.50-3.88, 2 Au 3.59-3.73, 1 Cs 3.91
Cs: 0.2814 0.0242 0.6589  6 Ag 3.50-3.88, 2 Au 3.59-3.73, 1 Cs 3.91
Cs: 0.7186 0.9758 0.3411  6 Ag 3.50-3.88, 2 Au 3.59-3.73, 1 Cs 3.91
Cs: 0.9758 0.7186 0.8411  6 Ag 3.50-3.88, 2 Au 3.59-3.73, 1 Cs 3.91
Ag: 0.2462 0.5057 0.4912  2 Au 2.90-3.05, 2 Ag 3.13-3.14
Ag: 0.4943 0.7538 0.0088  2 Au 2.90-3.05, 2 Ag 3.13-3.14
Ag: 0.5057 0.2462 0.9912  2 Au 2.90-3.05, 2 Ag 3.13-3.14
Ag: 0.7538 0.4943 0.5088  2 Au 2.90-3.05, 2 Ag 3.13-3.14
Au: 0.4111 0.5889 0.2500  4 Ag 2.90-3.05
Au: 0.5889 0.4111 0.7500  4 Ag 2.90-3.05

Results
* density of states at the Fermi level: 1.17 states/eV/f.u.
* formation energy from the elements: -39 meV per atom
* total moment: 0.00 μB/cell
* relative energy among the computed polymorphs: 1 meV per atom

---

Entry 10:
Material: Cs3Ag4Au2
Method: DFT, PBE-GGA
State: optimized geometry

Cell: 6.9187 6.9187 10.0407 Å, 108.78 108.78 41.69°
With the nearest neighbours (Å) after each atom.
Fractional coordinates of all 9 atoms:
Cs: 0.0000 0.0000 0.0000  2 Ag 3.48
Cs: 0.3764 0.3764 0.6294  2 Au 3.67-3.87, 6 Ag 3.69-3.88
Cs: 0.6236 0.6236 0.3706  2 Au 3.67-3.87, 6 Ag 3.69-3.88
Ag: 0.0891 0.0891 0.6321  2 Ag 2.85-2.88, 2 Au 2.88
Ag: 0.2414 0.2414 0.9197  3 Au 2.83-2.88, 3 Ag 2.88-2.91
Ag: 0.7586 0.7586 0.0803  3 Au 2.83-2.88, 3 Ag 2.88-2.91
Ag: 0.9109 0.9109 0.3679  2 Ag 2.85-2.88, 2 Au 2.88
Au: 0.3213 0.3213 0.2253  5 Ag 2.83-2.88
Au: 0.6787 0.6787 0.7747  5 Ag 2.83-2.88

Results
* density of states at the Fermi level: 3.79 states/eV/f.u.
* formation energy from the elements: -66 meV per atom
* total moment: 0.00 μB/cell

---

Entry 11:
Material: Cs5AgAu2
Method: DFT, PBE-GGA
State: optimized geometry

Cell: 11.2508 11.2508 11.2508 Å, 129.74 129.74 73.82°
With the nearest neighbours (Å) after each atom.
Fractional coordinates of all 16 atoms:
Cs: 0.0000 0.0000 0.0000  4 Au 3.87, 8 Cs 4.33
Cs: 0.0344 0.5344 0.8461  3 Au 3.73-3.85, 2 Ag 4.06
Cs: 0.1883 0.0344 0.5000  3 Au 3.73-3.85, 2 Ag 4.06
Cs: 0.3117 0.8117 0.8461  3 Au 3.73-3.85, 2 Ag 4.06
Cs: 0.4656 0.3117 0.5000  3 Au 3.73-3.85, 2 Ag 4.06
Cs: 0.5000 0.5000 0.0000  4 Au 3.87, 8 Cs 4.33
Cs: 0.5344 0.6883 0.5000  3 Au 3.73-3.85, 2 Ag 4.06
Cs: 0.6883 0.1883 0.1539  3 Au 3.73-3.85, 2 Ag 4.06
Cs: 0.8117 0.9656 0.5000  3 Au 3.73-3.85, 2 Ag 4.06
Cs: 0.9656 0.4656 0.1539  3 Au 3.73-3.85, 2 Ag 4.06
Ag: 0.2500 0.2500 0.0000  10 Cs 4.06-4.50
Ag: 0.7500 0.7500 0.0000  10 Cs 4.06-4.50
Au: 0.1101 0.3899 0.5000  1 Au 2.97
Au: 0.3899 0.8899 0.2798  1 Au 2.97
Au: 0.6101 0.1101 0.7202  1 Au 2.97
Au: 0.8899 0.6101 0.5000  1 Au 2.97

Results
* density of states at the Fermi level: 4.01 states/eV/f.u.
* formation energy from the elements: -168 meV per atom
* total moment: 0.00 μB/cell

---

Entry 12:
Material: Cs8Ag2Au
Method: DFT, PBE-GGA
State: optimized geometry

Cell: 9.9716 9.9716 10.1553 Å, 90.96 90.96 58.49°
With the nearest neighbours (Å) after each atom.
Fractional coordinates of all 11 atoms:
Cs: 0.1970 0.1970 0.8808  1 Au 3.66, 1 Ag 3.99
Cs: 0.2111 0.7227 0.7436  1 Au 3.57, 2 Ag 3.76-3.80
Cs: 0.2773 0.7889 0.2564  1 Au 3.57, 2 Ag 3.76-3.80
Cs: 0.2840 0.2840 0.4005  1 Ag 3.82
Cs: 0.7160 0.7160 0.5995  1 Ag 3.82
Cs: 0.7227 0.2111 0.7436  1 Au 3.57, 2 Ag 3.76-3.80
Cs: 0.7889 0.2773 0.2564  1 Au 3.57, 2 Ag 3.76-3.80
Cs: 0.8030 0.8030 0.1192  1 Au 3.66, 1 Ag 3.99
Ag: 0.0811 0.0811 0.5378  1 Ag 2.91
Ag: 0.9189 0.9189 0.4622  1 Ag 2.91
Au: 0.0000 0.0000 0.0000  6 Cs 3.57-3.66

Results
* density of states at the Fermi level: 8.38 states/eV/f.u.
* formation energy from the elements: -39 meV per atom
* total moment: 0.00 μB/cell

---

In hartree per atom, the total DFT energy (no corrections) values for the records above are, in order, -0.0632; -0.0476; -0.0774; -0.0503; -0.0941; -0.1010; -0.0680; -0.0892; -0.0800; -0.0862; -0.0690; -0.0542.